# 1
The following is a PBE calculation of a relaxed structure of Nd2Sm4Si3O2, from the Alexandria database.

Values from the calculation:
Uncorrected formation energy in meV per atom: -1411
N(E_F) in states/eV/f.u.: 7.24

Cell: 4.654 4.654 12.594 Å, 100.65 100.65 90.00°
Element x y z (fractional)
Sm (0.579, 0.079, 0.159)
Nd (0.698, 0.698, 0.397)
Sm (0.421, 0.921, 0.841)
Si (0.174, 0.174, 0.348)
Nd (0.302, 0.302, 0.603)
Sm (0.921, 0.421, 0.841)
Si (0.000, 0.000, 0.000)
O (0.402, 0.402, 0.804)
O (0.598, 0.598, 0.196)
Si (0.826, 0.826, 0.652)
Sm (0.079, 0.579, 0.159)



# 2
The following is a PBE calculation of a relaxed structure of SrNdSi2O6, from the Alexandria database.

Values from the calculation:
Uncorrected formation energy in meV per atom: -2718
N(E_F) in states/eV/f.u.: 1.24

Cell: 6.685 6.685 7.333 Å, 100.33 100.33 110.50°
Last column: magnetic moment on the atom in μB.
Element x y z (fractional)
O (0.480, 0.282, 0.900)  0.02
Sr (0.784, 0.216, 0.750)  0.00
Si (0.915, 0.738, 0.758)  0.08
O (0.351, 0.913, 0.629)  0.09
Nd (0.397, 0.603, 0.750)  0.01
Si (0.262, 0.085, 0.742)  0.08
O (0.873, 0.782, 0.352)  0.09
Sr (0.216, 0.784, 0.250)  0.00
O (0.520, 0.718, 0.100)  0.02
O (0.282, 0.480, 0.400)  0.02
O (0.782, 0.873, 0.852)  0.09
O (0.718, 0.520, 0.600)  0.02
Nd (0.603, 0.397, 0.250)  0.01
O (0.913, 0.351, 0.129)  0.09
Si (0.738, 0.915, 0.258)  0.08
O (0.087, 0.649, 0.871)  0.09
O (0.127, 0.218, 0.648)  0.09
O (0.649, 0.087, 0.371)  0.09
Si (0.085, 0.262, 0.242)  0.08
O (0.218, 0.127, 0.148)  0.09



# 3
The following is a PBE calculation of a relaxed structure of Nd8Si3Te4O, from the Alexandria database.

Values from the calculation:
Uncorrected formation energy in meV per atom: -1300
N(E_F) in states/eV/f.u.: 4.81

Cell: 8.509 8.800 8.509 Å, 118.91 120.00 90.00°
Element x y z (fractional)
Nd (0.742, 0.725, 0.484)
Nd (0.232, 0.712, 0.980)
Nd (0.258, 0.275, 0.516)
Nd (0.252, 0.288, 0.020)
Te (0.500, 0.000, 0.000)
Te (0.000, 0.000, 0.000)
Nd (0.768, 0.288, 0.020)
Nd (0.768, 0.288, 0.536)
Nd (0.748, 0.712, 0.980)
Si (0.500, 0.500, 0.500)
Te (0.000, 0.000, 0.500)
Te (0.500, 0.000, 0.500)
O (0.000, 0.500, 0.000)
Si (0.000, 0.500, 0.500)
Nd (0.232, 0.712, 0.464)
Si (0.500, 0.500, 0.000)



# 4
The following is a PBE calculation of a relaxed structure of Nd2SiTeO4, from the Alexandria database.

Values from the calculation:
Uncorrected formation energy in meV per atom: -2864
N(E_F) in states/eV/f.u.: 0.00

Cell: 6.474 8.794 9.976 Å, 84.71 90.00 90.00°
Element x y z (fractional)
Si (0.191, 0.057, 0.875)
Nd (0.696, 0.163, 0.346)
Te (0.786, 0.881, 0.591)
Nd (0.653, 0.195, 0.894)
Si (0.309, 0.557, 0.875)
O (0.138, 0.592, 0.752)
Nd (0.153, 0.305, 0.106)
O (0.362, 0.092, 0.752)
O (0.367, 0.376, 0.874)
O (0.638, 0.908, 0.248)
Te (0.286, 0.619, 0.409)
Nd (0.347, 0.805, 0.106)
Si (0.691, 0.443, 0.125)
O (0.491, 0.684, 0.843)
O (0.633, 0.624, 0.126)
O (0.194, 0.578, 0.019)
O (0.306, 0.078, 0.019)
O (0.867, 0.124, 0.126)
Nd (0.804, 0.663, 0.346)
Te (0.714, 0.381, 0.591)
O (0.991, 0.816, 0.157)
O (0.694, 0.922, 0.981)
O (0.009, 0.184, 0.843)
O (0.806, 0.422, 0.981)
O (0.509, 0.316, 0.157)
Si (0.809, 0.943, 0.125)
Nd (0.304, 0.837, 0.654)
Te (0.214, 0.119, 0.409)
O (0.133, 0.876, 0.874)
Nd (0.196, 0.337, 0.654)
Nd (0.847, 0.695, 0.894)
O (0.862, 0.408, 0.248)



# 5
The following is a PBE calculation of a relaxed structure of Nd2SiTeO4, from the Alexandria database.

Values from the calculation:
Uncorrected formation energy in meV per atom: -2871
N(E_F) in states/eV/f.u.: 0.00

Cell: 6.358 7.265 11.300 Å, 90.00 90.00 90.00°
Element x y z (fractional)
Si (0.114, 0.250, 0.000)
Nd (0.887, 0.961, 0.750)
O (0.048, 0.769, 0.385)
Te (0.404, 0.421, 0.250)
Nd (0.388, 0.750, 0.000)
Nd (0.887, 0.539, 0.250)
Nd (0.612, 0.250, 0.500)
Nd (0.388, 0.750, 0.500)
O (0.952, 0.269, 0.115)
Te (0.596, 0.921, 0.250)
Si (0.886, 0.750, 0.500)
O (0.730, 0.577, 0.036)
Te (0.404, 0.079, 0.750)
Te (0.596, 0.579, 0.750)
Nd (0.113, 0.461, 0.750)
Nd (0.113, 0.039, 0.250)
O (0.730, 0.923, 0.536)
O (0.270, 0.423, 0.536)
O (0.048, 0.731, 0.615)
O (0.952, 0.269, 0.385)
Si (0.886, 0.750, 0.000)
O (0.730, 0.923, 0.964)
O (0.952, 0.231, 0.615)
Nd (0.612, 0.250, 0.000)
O (0.730, 0.577, 0.464)
O (0.270, 0.077, 0.036)
O (0.952, 0.231, 0.885)
Si (0.114, 0.250, 0.500)
O (0.270, 0.423, 0.964)
O (0.270, 0.077, 0.464)
O (0.048, 0.731, 0.885)
O (0.048, 0.769, 0.115)



# 6
The following is a PBE calculation of a relaxed structure of NdTlSiO4, from the Alexandria database.

Values from the calculation:
Uncorrected formation energy in meV per atom: -2572
N(E_F) in states/eV/f.u.: 0.00

Cell: 5.989 5.644 7.886 Å, 90.00 104.45 90.00°
Element x y z (fractional)
Nd (0.775, 0.750, 0.431)
O (0.572, 0.250, 0.445)
O (0.580, 0.250, 0.782)
Si (0.255, 0.750, 0.355)
Nd (0.225, 0.250, 0.569)
O (0.922, 0.479, 0.663)
Tl (0.305, 0.250, 0.115)
O (0.078, 0.521, 0.337)
O (0.922, 0.021, 0.663)
Si (0.745, 0.250, 0.645)
O (0.078, 0.979, 0.337)
O (0.428, 0.750, 0.555)
O (0.420, 0.750, 0.218)
Tl (0.695, 0.750, 0.885)



# 7
The following is a PBE calculation of a relaxed structure of NdZrSi2O8, from the Alexandria database.

Values from the calculation:
Uncorrected formation energy in meV per atom: -2871
N(E_F) in states/eV/f.u.: 8.74

Cell: 5.818 5.818 5.818 Å, 106.38 106.38 115.85°
Element x y z (fractional)
Si (0.750, 0.250, 0.500)
O (0.399, 0.088, 0.311)
Zr (0.000, 0.000, 0.000)
O (0.777, 0.088, 0.689)
O (0.319, 0.148, 0.829)
Si (0.500, 0.500, 0.000)
O (0.852, 0.681, 0.171)
O (0.912, 0.601, 0.689)
Nd (0.250, 0.750, 0.500)
O (0.912, 0.223, 0.311)
O (0.510, 0.681, 0.829)
O (0.319, 0.490, 0.171)



# 8
The following is a PBE calculation of a relaxed structure of Nd2SmO, from the Alexandria database.

Values from the calculation:
Uncorrected formation energy in meV per atom: -1129
N(E_F) in states/eV/f.u.: 5.02

Cell: 3.638 3.638 9.755 Å, 79.25 79.25 60.00°
Last column: magnetic moment on the atom in μB.
Element x y z (fractional)
Nd (0.881, 0.881, 0.357)  0.03
Sm (0.000, 0.000, 0.000)  0.06
Nd (0.119, 0.119, 0.643)  0.03
O (0.500, 0.500, 0.500)  0.00



# 9
The following is a PBE calculation of a relaxed structure of NdSm3O, from the Alexandria database.

Values from the calculation:
Uncorrected formation energy in meV per atom: -1078
N(E_F) in states/eV/f.u.: 5.58

Cell: 5.068 5.068 5.068 Å, 90.00 90.00 90.00°
Element x y z (fractional)
O (0.000, 0.000, 0.000)
Sm (0.000, 0.500, 0.000)
Sm (0.500, 0.000, 0.000)
Nd (0.500, 0.500, 0.500)
Sm (0.000, 0.000, 0.500)



# 10
The following is a PBE calculation of a relaxed structure of Nd2SmO, from the Alexandria database.

Values from the calculation:
Uncorrected formation energy in meV per atom: -800
N(E_F) in states/eV/f.u.: 5.24

Cell: 3.261 3.261 9.239 Å, 90.00 90.00 90.00°
Element x y z (fractional)
Sm (0.500, 0.500, 0.500)
O (0.500, 0.500, 0.000)
Nd (0.000, 0.000, 0.170)
Nd (0.000, 0.000, 0.830)



# 11
The following is a PBE calculation of a relaxed structure of NdSm3O6, from the Alexandria database.

Values from the calculation:
Uncorrected formation energy in meV per atom: -3386
N(E_F) in states/eV/f.u.: 0.00

Cell: 6.969 6.969 6.969 Å, 91.42 91.42 91.42°
Element x y z (fractional)
O (0.179, 0.526, 0.395)
O (0.682, 0.099, 0.930)
O (0.070, 0.318, 0.901)
Sm (0.749, 0.447, 0.939)
O (0.526, 0.395, 0.179)
Nd (0.000, 0.000, 0.000)
O (0.930, 0.682, 0.099)
Sm (0.251, 0.553, 0.061)
O (0.605, 0.821, 0.474)
Sm (0.447, 0.939, 0.749)
O (0.099, 0.930, 0.682)
O (0.821, 0.474, 0.605)
O (0.395, 0.179, 0.526)
Sm (0.939, 0.749, 0.447)
Sm (0.553, 0.061, 0.251)
Nd (0.500, 0.500, 0.500)
Sm (0.061, 0.251, 0.553)
O (0.901, 0.070, 0.318)
O (0.318, 0.901, 0.070)
O (0.474, 0.605, 0.821)



# 12
The following is a PBE calculation of a relaxed structure of NdSmO3, from the Alexandria database.

Values from the calculation:
Uncorrected formation energy in meV per atom: -3194
N(E_F) in states/eV/f.u.: 0.00

Cell: 6.193 6.193 3.182 Å, 90.00 90.00 120.00°
Element x y z (fractional)
O (0.663, 0.832, 0.000)
O (0.168, 0.831, 0.000)
Nd (0.000, 0.000, 0.500)
O (0.169, 0.337, 0.000)
Sm (0.333, 0.667, 0.500)



# 13
The following is a PBE calculation of a relaxed structure of NdSmO3, from the Alexandria database.

Values from the calculation:
Uncorrected formation energy in meV per atom: -3238
N(E_F) in states/eV/f.u.: 0.00

Cell: 5.846 5.846 6.572 Å, 63.59 63.59 60.00°
Element x y z (fractional)
Sm (0.647, 0.647, 0.060)
Nd (0.856, 0.856, 0.433)
O (0.461, 0.044, 0.751)
O (0.044, 0.744, 0.751)
O (0.956, 0.539, 0.249)
O (0.539, 0.256, 0.249)
Sm (0.353, 0.353, 0.940)
O (0.744, 0.461, 0.751)
Nd (0.144, 0.144, 0.567)
O (0.256, 0.956, 0.249)



# 14
The following is a PBE calculation of a relaxed structure of Nd2SmO4, from the Alexandria database.

Values from the calculation:
Uncorrected formation energy in meV per atom: -3061
N(E_F) in states/eV/f.u.: 2.73

Cell: 7.076 7.075 7.077 Å, 120.00 119.99 90.00°
Last column: magnetic moment on the atom in μB.
Element x y z (fractional)
O (0.871, 0.130, 0.260)  0.01
O (0.861, 0.620, 0.240)  0.01
Nd (0.625, 0.375, 0.750)  0.07
O (0.380, 0.621, 0.760)  0.01
Nd (0.625, 0.875, 0.250)  0.07
Sm (0.250, 0.750, 0.500)  0.03
O (0.870, 0.611, 0.740)  0.01
Nd (0.125, 0.375, 0.750)  0.07
O (0.389, 0.130, 0.260)  0.01
O (0.380, 0.139, 0.760)  0.01
Sm (0.000, 0.000, 0.000)  0.03
O (0.379, 0.620, 0.240)  0.01
O (0.870, 0.129, 0.740)  0.01
Nd (0.625, 0.375, 0.250)  0.07



# 15
The following is a PBE calculation of a relaxed structure of Nd4Sm2Sn3O2, from the Alexandria database.

Values from the calculation:
Uncorrected formation energy in meV per atom: -1468
N(E_F) in states/eV/f.u.: 5.01

Cell: 4.817 4.817 13.344 Å, 100.40 100.40 90.00°
Element x y z (fractional)
Nd (0.417, 0.917, 0.834)
Sn (0.000, 0.000, 0.000)
Nd (0.583, 0.083, 0.166)
Sm (0.306, 0.306, 0.611)
Sm (0.694, 0.694, 0.389)
Nd (0.083, 0.583, 0.166)
Sn (0.821, 0.821, 0.643)
Sn (0.179, 0.179, 0.357)
Nd (0.917, 0.417, 0.834)
O (0.603, 0.603, 0.206)
O (0.397, 0.397, 0.794)



# 16
The following is a PBE calculation of a relaxed structure of NdSmTc2O8, from the Alexandria database.

Values from the calculation:
Uncorrected formation energy in meV per atom: -2214
N(E_F) in states/eV/f.u.: 0.36

Cell: 5.303 5.303 6.883 Å, 112.66 112.66 90.00°
Last column: magnetic moment on the atom in μB.
Element x y z (fractional)
Sm (0.000, 0.000, 0.000)  0.06
O (0.421, 0.334, 0.168)  0.09
O (0.084, 0.995, 0.671)  0.10
O (0.587, 0.676, 0.671)  0.10
O (0.666, 0.252, 0.832)  0.09
O (0.005, 0.413, 0.329)  0.10
O (0.165, 0.579, 0.832)  0.09
Nd (0.750, 0.250, 0.500)  0.06
Tc (0.500, 0.500, 0.000)  1.38
O (0.748, 0.835, 0.168)  0.09
Tc (0.250, 0.750, 0.500)  1.38
O (0.324, 0.916, 0.329)  0.10



# 17
The following is a PBE calculation of a relaxed structure of NdSm2TeO8, from the Alexandria database.

Values from the calculation:
Uncorrected formation energy in meV per atom: -2392
N(E_F) in states/eV/f.u.: 4.56

Cell: 4.267 5.369 7.339 Å, 90.00 90.00 95.08°
Last column: magnetic moment on the atom in μB.
Element x y z (fractional)
O (0.596, 0.801, 0.000)  0.21
O (0.069, 0.766, 0.204)  0.03
O (0.484, 0.252, 0.500)  0.08
O (0.931, 0.234, 0.204)  0.03
O (0.931, 0.234, 0.796)  0.03
O (0.516, 0.748, 0.500)  0.08
O (0.404, 0.199, 0.000)  0.21
Te (0.000, 0.000, 0.000)  -0.01
Nd (0.000, 0.000, 0.500)  0.00
O (0.069, 0.766, 0.796)  0.03
Sm (0.500, 0.500, 0.756)  0.00
Sm (0.500, 0.500, 0.244)  0.00



# 18
The following is a PBE calculation of a relaxed structure of NdSmTe2O, from the Alexandria database.

Values from the calculation:
Uncorrected formation energy in meV per atom: -2060
N(E_F) in states/eV/f.u.: 1.58

Cell: 4.244 4.244 16.105 Å, 90.00 90.00 90.00°
Element x y z (fractional)
Nd (0.000, 0.500, 0.432)
Te (0.000, 0.500, 0.685)
Te (0.500, 0.000, 0.315)
O (0.000, 0.000, 0.500)
Sm (0.500, 0.000, 0.134)
Nd (0.500, 0.000, 0.568)
Sm (0.000, 0.500, 0.866)
Te (0.000, 0.500, 0.083)
Te (0.500, 0.000, 0.917)
O (0.500, 0.500, 0.500)



# 19
The following is a PBE calculation of a relaxed structure of Nd2Sm4Tl3O2, from the Alexandria database.

Values from the calculation:
Uncorrected formation energy in meV per atom: -1222
N(E_F) in states/eV/f.u.: 6.35

Cell: 4.813 4.813 13.237 Å, 100.48 100.48 90.00°
Element x y z (fractional)
Nd (0.303, 0.303, 0.606)
Sm (0.915, 0.415, 0.831)
Tl (0.000, 0.000, 0.000)
Sm (0.085, 0.585, 0.169)
Tl (0.175, 0.175, 0.351)
O (0.601, 0.601, 0.202)
Sm (0.415, 0.915, 0.831)
Tl (0.825, 0.825, 0.649)
Sm (0.585, 0.085, 0.169)
Nd (0.697, 0.697, 0.394)
O (0.399, 0.399, 0.798)